# RbMo3S3 (GGA-PBE, optimized geometry)
data_RbMo3S3
_chemical_formula_sum 'Rb2 Mo6 S6'
_symmetry_space_group_name_H-M 'P 63/m'
_symmetry_Int_Tables_number 176
_symmetry_space_group_name_Hall '-P 6c'
_cell_length_a 9.2101
_cell_length_b 9.2101
_cell_length_c 4.4589
_cell_angle_alpha 90.00
_cell_angle_beta 90.00
_cell_angle_gamma 120.00
loop_
_atom_site_label
_atom_site_type_symbol
_atom_site_fract_x
_atom_site_fract_y
_atom_site_fract_z
_atom_site_occupancy
Rb1 Rb 0.3333 0.6667 0.2500 1
Mo1 Mo 0.0289 0.1801 0.2500 1
S1 S 0.0557 0.3373 0.7500 1
# **Total energy**: -7.36 eV per atom
# **Spin magnetization**: 0.000 μB/f.u.
# **V**: 327.6 Å³ per cell